P | Below is a relaxed structure of Be2TeAs, with properties calculated at the PBEsol level.

Cell and atoms, written as CIF:
```
data_Be2TeAs
_space_group_name_H-M_alt 'I -4 2 d'
_space_group_IT_number 122
_space_group_name_Hall 'I -4 2bw'
_cell_length_a 5.294
_cell_length_b 5.294
_cell_length_c 10.949
_cell_angle_alpha 90.00
_cell_angle_beta 90.00
_cell_angle_gamma 90.00
loop_
_atom_site_label
_atom_site_type_symbol
_atom_site_fract_x
_atom_site_fract_y
_atom_site_fract_z
_atom_site_occupancy
Be1 Be 0.218 0.250 0.125 1
Te1 Te 0.000 0.000 0.500 1
As1 As 0.000 0.000 0.000 1
```

## Properties
Crystal system: tetragonal
Volume: 306.9 Å³ per cell

=====

Q | Below is a relaxed structure of Be2TeAs, with properties calculated at the PBEsol level.

Cell and atoms, written as CIF:
```
data_Be2TeAs
_space_group_name_H-M_alt 'P 4 m m'
_space_group_IT_number 99
_cell_length_a 3.599
_cell_length_b 3.599
_cell_length_c 5.703
_cell_angle_alpha 90.00
_cell_angle_beta 90.00
_cell_angle_gamma 90.00
loop_
_space_group_symop_operation_xyz
'x,y,z'
'-y,x,z'
'-x,-y,z'
'y,-x,z'
'-x,y,z'
'y,x,z'
'x,-y,z'
'-y,-x,z'
loop_
_atom_site_label
_atom_site_type_symbol
_atom_site_fract_x
_atom_site_fract_y
_atom_site_fract_z
_atom_site_occupancy
Be1 Be 0.000 0.500 0.000 1
Te1 Te 0.000 0.000 0.701 1
As1 As 0.500 0.500 0.245 1
```

## Properties
Crystal system: tetragonal
Volume: 73.9 Å³ per cell

=====

R | Below is a relaxed structure of Be2TeAs, with properties calculated at the PBEsol level.

Cell and atoms, written as CIF:
```
data_Be2TeAs
_space_group_name_H-M_alt 'C 1 m 1'
_space_group_IT_number 8
_cell_length_a 6.843
_cell_length_b 3.588
_cell_length_c 6.723
_cell_angle_alpha 90.00
_cell_angle_beta 120.02
_cell_angle_gamma 90.00
loop_
_space_group_symop_operation_xyz
'x,y,z'
'x,-y,z'
'x+1/2,y+1/2,z'
'x+1/2,-y+1/2,z'
loop_
_atom_site_label
_atom_site_type_symbol
_atom_site_fract_x
_atom_site_fract_y
_atom_site_fract_z
_atom_site_occupancy
Be1 Be 0.000 0.000 0.000 1
Be2 Be 0.156 0.500 0.625 1
Te1 Te 0.410 0.000 0.202 1
As1 As 0.386 0.000 0.716 1
```

## Properties
Crystal system: monoclinic
Volume: 142.9 Å³ per cell

=====

If we sort the structures by their calculated energies, the order from most to least stable is P, Q, R.

=====

P | Below is a relaxed structure of Be2TeAs, with properties calculated at the PBEsol level.

Cell and atoms, written as CIF:
```
data_Be2TeAs
_space_group_name_H-M_alt 'R -3 m'
_space_group_IT_number 166
_space_group_name_Hall '-R 3 2"'
_cell_length_a 3.5654
_cell_length_b 3.5654
_cell_length_c 17.3564
_cell_angle_alpha 90.00
_cell_angle_beta 90.00
_cell_angle_gamma 120.00
loop_
_atom_site_label
_atom_site_type_symbol
_atom_site_fract_x
_atom_site_fract_y
_atom_site_fract_z
_atom_site_occupancy
Be1 Be 0.0000 0.0000 0.2343 1
Te1 Te 0.0000 0.0000 0.0000 1
As1 As 0.0000 0.0000 0.5000 1
```

## Properties
Crystal system: trigonal
Volume: 191.1 Å³ per cell

=====

Q | Below is a relaxed structure of Be2TeAs, with properties calculated at the PBEsol level.

Cell and atoms, written as CIF:
```
data_Be2TeAs
_space_group_name_H-M_alt 'C m m m'
_space_group_IT_number 65
_space_group_name_Hall '-C 2 2'
_cell_length_a 3.528
_cell_length_b 5.701
_cell_length_c 6.859
_cell_angle_alpha 90.00
_cell_angle_beta 90.00
_cell_angle_gamma 90.00
loop_
_atom_site_label
_atom_site_type_symbol
_atom_site_fract_x
_atom_site_fract_y
_atom_site_fract_z
_atom_site_occupancy
Be1 Be 0.000 0.000 0.211 1
Te1 Te 0.000 0.500 0.500 1
As1 As 0.000 0.500 0.000 1
```

## Properties
Crystal system: orthorhombic
Volume: 138.0 Å³ per cell

=====

If we sort the structures by their calculated energies, the order from most to least stable is P, Q.

=====

P | Below is a relaxed structure of BeAsW2, with properties calculated at the PBEsol level.

Cell and atoms, written as CIF:
```
data_BeAsW2
_space_group_name_H-M_alt 'I -4 m 2'
_space_group_IT_number 119
_space_group_name_Hall 'I -4 -2'
_cell_length_a 3.722
_cell_length_b 3.722
_cell_length_c 8.003
_cell_angle_alpha 90.00
_cell_angle_beta 90.00
_cell_angle_gamma 90.00
loop_
_atom_site_label
_atom_site_type_symbol
_atom_site_fract_x
_atom_site_fract_y
_atom_site_fract_z
_atom_site_occupancy
Be1 Be 0.000 0.000 0.000 1
As1 As 0.000 0.500 0.750 1
W1 W 0.000 0.000 0.500 1
W2 W 0.000 0.500 0.250 1
```

## Properties
Crystal system: tetragonal
Volume: 110.9 Å³ per cell

=====

Q | Below is a relaxed structure of BeAsW2, with properties calculated at the PBEsol level.

Cell and atoms, written as CIF:
```
data_BeAsW2
_space_group_name_H-M_alt 'C 1 2/m 1'
_space_group_IT_number 12
_cell_length_a 8.480
_cell_length_b 3.036
_cell_length_c 4.500
_cell_angle_alpha 90.00
_cell_angle_beta 98.00
_cell_angle_gamma 90.00
loop_
_space_group_symop_operation_xyz
'x,y,z'
'-x,-y,-z'
'-x,y,-z'
'x,-y,z'
'x+1/2,y+1/2,z'
'-x+1/2,-y+1/2,-z'
'-x+1/2,y+1/2,-z'
'x+1/2,-y+1/2,z'
loop_
_atom_site_label
_atom_site_type_symbol
_atom_site_fract_x
_atom_site_fract_y
_atom_site_fract_z
_atom_site_occupancy
Be1 Be 0.000 0.000 0.000 1
As1 As 0.000 0.500 0.500 1
W1 W 0.247 0.500 0.236 1
```

## Properties
Crystal system: monoclinic
Volume: 114.7 Å³ per cell

=====

R | Below is a relaxed structure of BeAsW2, with properties calculated at the PBEsol level.

Cell and atoms, written as CIF:
```
data_BeAsW2
_space_group_name_H-M_alt 'A m m 2'
_space_group_IT_number 38
_cell_length_a 3.961
_cell_length_b 3.066
_cell_length_c 8.883
_cell_angle_alpha 90.00
_cell_angle_beta 90.00
_cell_angle_gamma 90.00
loop_
_space_group_symop_operation_xyz
'x,y,z'
'-x,-y,z'
'-x,y,z'
'x,-y,z'
'x,y+1/2,z+1/2'
'-x,-y+1/2,z+1/2'
'-x,y+1/2,z+1/2'
'x,-y+1/2,z+1/2'
loop_
_atom_site_label
_atom_site_type_symbol
_atom_site_fract_x
_atom_site_fract_y
_atom_site_fract_z
_atom_site_occupancy
Be1 Be 0.000 0.000 0.000 1
As1 As 0.500 0.000 0.154 1
W1 W 0.000 0.000 0.732 1
W2 W 0.500 0.000 0.431 1
```

## Properties
Crystal system: orthorhombic
Volume: 107.9 Å³ per cell

=====

If we sort the structures by their calculated energies, the order from most to least stable is R, Q, P.

=====

P | Below is a relaxed structure of YBeAs, with properties calculated at the PBEsol level.

Cell and atoms, written as CIF:
```
data_YBeAs
_space_group_name_H-M_alt 'P -6 m 2'
_space_group_IT_number 187
_space_group_name_Hall 'P -6 2'
_cell_length_a 3.8205
_cell_length_b 3.8205
_cell_length_c 3.9823
_cell_angle_alpha 90.00
_cell_angle_beta 90.00
_cell_angle_gamma 120.00
loop_
_atom_site_label
_atom_site_type_symbol
_atom_site_fract_x
_atom_site_fract_y
_atom_site_fract_z
_atom_site_occupancy
Y1 Y 0.0000 0.0000 0.0000 1
Be1 Be 0.6667 0.3333 0.5000 1
As1 As 0.3333 0.6667 0.5000 1
```

## Properties
Crystal system: hexagonal
Volume: 50.3 Å³ per cell

=====

Q | Below is a relaxed structure of YBeAs, with properties calculated at the PBEsol level.

Cell and atoms, written as CIF:
```
data_YBeAs
_space_group_name_H-M_alt 'F -4 3 m'
_space_group_IT_number 216
_space_group_name_Hall 'F -4 2 3'
_cell_length_a 5.964
_cell_length_b 5.964
_cell_length_c 5.964
_cell_angle_alpha 90.00
_cell_angle_beta 90.00
_cell_angle_gamma 90.00
loop_
_atom_site_label
_atom_site_type_symbol
_atom_site_fract_x
_atom_site_fract_y
_atom_site_fract_z
_atom_site_occupancy
Y1 Y 0.000 0.000 0.000 1
Be1 Be 0.250 0.250 0.250 1
As1 As 0.000 0.000 0.500 1
```

## Properties
Crystal system: cubic
Volume: 212.2 Å³ per cell

=====

If we sort the structures by their calculated energies, the order from most to least stable is P, Q.

=====

P | Below is a relaxed structure of Y2BeAs, with properties calculated at the PBEsol level.

Cell and atoms, written as CIF:
```
data_Y2BeAs
_space_group_name_H-M_alt 'P 4 m m'
_space_group_IT_number 99
_cell_length_a 3.333
_cell_length_b 3.333
_cell_length_c 7.641
_cell_angle_alpha 90.00
_cell_angle_beta 90.00
_cell_angle_gamma 90.00
loop_
_space_group_symop_operation_xyz
'x,y,z'
'-y,x,z'
'-x,-y,z'
'y,-x,z'
'-x,y,z'
'y,x,z'
'x,-y,z'
'-y,-x,z'
loop_
_atom_site_label
_atom_site_type_symbol
_atom_site_fract_x
_atom_site_fract_y
_atom_site_fract_z
_atom_site_occupancy
Y1 Y 0.000 0.000 0.000 1
Y2 Y 0.500 0.500 0.364 1
Be1 Be 0.500 0.500 0.744 1
As1 As 0.000 0.000 0.626 1
```

## Properties
Crystal system: tetragonal
Volume: 84.9 Å³ per cell

=====

Q | Below is a relaxed structure of Y2BeAs, with properties calculated at the PBEsol level.

Cell and atoms, written as CIF:
```
data_Y2BeAs
_space_group_name_H-M_alt 'A m m 2'
_space_group_IT_number 38
_cell_length_a 3.784
_cell_length_b 4.149
_cell_length_c 10.456
_cell_angle_alpha 90.00
_cell_angle_beta 90.00
_cell_angle_gamma 90.00
loop_
_space_group_symop_operation_xyz
'x,y,z'
'-x,-y,z'
'-x,y,z'
'x,-y,z'
'x,y+1/2,z+1/2'
'-x,-y+1/2,z+1/2'
'-x,y+1/2,z+1/2'
'x,-y+1/2,z+1/2'
loop_
_atom_site_label
_atom_site_type_symbol
_atom_site_fract_x
_atom_site_fract_y
_atom_site_fract_z
_atom_site_occupancy
Y1 Y 0.000 0.000 0.000 1
Y2 Y 0.500 0.000 0.287 1
Be1 Be 0.000 0.000 0.714 1
As1 As 0.500 0.000 0.578 1
```

## Properties
Crystal system: orthorhombic
Volume: 164.2 Å³ per cell

=====

If we sort the structures by their calculated energies, the order from most to least stable is Q, P.

=====

P | Below is a relaxed structure of Be2ZnAs, with properties calculated at the PBEsol level.

Cell and atoms, written as CIF:
```
data_Be2ZnAs
_space_group_name_H-M_alt 'I m m m'
_space_group_IT_number 71
_space_group_name_Hall '-I 2 2'
_cell_length_a 3.542
_cell_length_b 3.993
_cell_length_c 7.165
_cell_angle_alpha 90.00
_cell_angle_beta 90.00
_cell_angle_gamma 90.00
loop_
_atom_site_label
_atom_site_type_symbol
_atom_site_fract_x
_atom_site_fract_y
_atom_site_fract_z
_atom_site_occupancy
Be1 Be 0.000 0.000 0.246 1
Zn1 Zn 0.000 0.500 0.000 1
As1 As 0.000 0.500 0.500 1
```

## Properties
Crystal system: orthorhombic
Volume: 101.3 Å³ per cell

=====

Q | Below is a relaxed structure of Be2ZnAs, with properties calculated at the PBEsol level.

Cell and atoms, written as CIF:
```
data_Be2ZnAs
_space_group_name_H-M_alt 'R -3 m'
_space_group_IT_number 166
_space_group_name_Hall '-R 3 2"'
_cell_length_a 2.8516
_cell_length_b 2.8516
_cell_length_c 21.7074
_cell_angle_alpha 90.00
_cell_angle_beta 90.00
_cell_angle_gamma 120.00
loop_
_atom_site_label
_atom_site_type_symbol
_atom_site_fract_x
_atom_site_fract_y
_atom_site_fract_z
_atom_site_occupancy
Be1 Be 0.0000 0.0000 0.2502 1
Zn1 Zn 0.0000 0.0000 0.0000 1
As1 As 0.0000 0.0000 0.5000 1
```

## Properties
Crystal system: trigonal
Volume: 152.9 Å³ per cell

=====

If we sort the structures by their calculated energies, the order from most to least stable is Q, P.

=====

P | Below is a relaxed structure of Bi2AsO, with properties calculated at the PBEsol level.

Cell and atoms, written as CIF:
```
data_Bi2AsO
_space_group_name_H-M_alt 'F m -3 m'
_space_group_IT_number 225
_space_group_name_Hall '-F 4 2 3'
_cell_length_a 6.837
_cell_length_b 6.837
_cell_length_c 6.837
_cell_angle_alpha 90.00
_cell_angle_beta 90.00
_cell_angle_gamma 90.00
loop_
_atom_site_label
_atom_site_type_symbol
_atom_site_fract_x
_atom_site_fract_y
_atom_site_fract_z
_atom_site_occupancy
Bi1 Bi 0.250 0.250 0.250 1
As1 As 0.000 0.000 0.000 1
O1 O 0.000 0.000 0.500 1
```

## Properties
Crystal system: cubic
Volume: 319.6 Å³ per cell

=====

Q | Below is a relaxed structure of Bi2AsO, with properties calculated at the PBEsol level.

Cell and atoms, written as CIF:
```
data_Bi2AsO
_space_group_name_H-M_alt 'I -4 2 d'
_space_group_IT_number 122
_space_group_name_Hall 'I -4 2bw'
_cell_length_a 6.006
_cell_length_b 6.006
_cell_length_c 11.899
_cell_angle_alpha 90.00
_cell_angle_beta 90.00
_cell_angle_gamma 90.00
loop_
_atom_site_label
_atom_site_type_symbol
_atom_site_fract_x
_atom_site_fract_y
_atom_site_fract_z
_atom_site_occupancy
Bi1 Bi 0.178 0.250 0.125 1
As1 As 0.000 0.000 0.500 1
O1 O 0.000 0.000 0.000 1
```

## Properties
Crystal system: tetragonal
Volume: 429.2 Å³ per cell

=====

If we sort the structures by their calculated energies, the order from most to least stable is Q, P.

=====

P | Below is a relaxed structure of Bi2AsPPt, with properties calculated at the PBEsol level.

Cell and atoms, written as CIF:
```
data_Bi2AsPPt
_space_group_name_H-M_alt 'P 4/m m m'
_space_group_IT_number 123
_space_group_name_Hall '-P 4 2'
_cell_length_a 5.550
_cell_length_b 5.550
_cell_length_c 4.444
_cell_angle_alpha 90.00
_cell_angle_beta 90.00
_cell_angle_gamma 90.00
loop_
_atom_site_label
_atom_site_type_symbol
_atom_site_fract_x
_atom_site_fract_y
_atom_site_fract_z
_atom_site_occupancy
Bi1 Bi 0.000 0.500 0.000 1
As1 As 0.000 0.000 0.500 1
P1 P 0.500 0.500 0.500 1
Pt1 Pt 0.000 0.000 0.000 1
```

## Properties
Crystal system: tetragonal
Volume: 136.9 Å³ per cell

=====

Q | Below is a relaxed structure of Bi2AsPPt, with properties calculated at the PBEsol level.

Cell and atoms, written as CIF:
```
data_Bi2AsPPt
_space_group_name_H-M_alt 'P 4/m m m'
_space_group_IT_number 123
_space_group_name_Hall '-P 4 2'
_cell_length_a 5.386
_cell_length_b 5.386
_cell_length_c 4.458
_cell_angle_alpha 90.00
_cell_angle_beta 90.00
_cell_angle_gamma 90.00
loop_
_atom_site_label
_atom_site_type_symbol
_atom_site_fract_x
_atom_site_fract_y
_atom_site_fract_z
_atom_site_occupancy
Bi1 Bi 0.000 0.500 0.000 1
As1 As 0.000 0.000 0.000 1
P1 P 0.000 0.000 0.500 1
Pt1 Pt 0.500 0.500 0.500 1
```

## Properties
Crystal system: tetragonal
Volume: 129.4 Å³ per cell

=====

If we sort the structures by their calculated energies, the order from most to least stable is P, Q.